A plane-wave DFT calculation with GGA-PBE was carried out for a geometry-optimized NiAs structure.

Calculated values
- DFT formation energy: 0.043 eV/atom
- Volume: 63.8 Å³ per cell
- Total energy: -20.688 eV/cell

CIF file:
```
data_NiAs
_chemical_formula_sum 'Ni2 As2'
_cell_length_a 3.0633
_cell_length_b 3.0633
_cell_length_c 7.8495
_cell_angle_alpha 90.00
_cell_angle_beta 90.00
_cell_angle_gamma 120.00
_symmetry_space_group_name_H-M 'P -3 m 1'
_symmetry_Int_Tables_number 164
_symmetry_space_group_name_Hall '-P 3 2"'
loop_
_atom_site_label
_atom_site_fract_x
_atom_site_fract_y
_atom_site_fract_z
_atom_site_occupancy
Ni1 0.3333 0.6667 0.1146 1
As1 0.3333 0.6667 0.6899 1
```